No. 1
Material: AlCdTe2N
Method: DFT, PBE
State: relaxed

a b c (Å): 5.752 5.752 4.033
angles (deg): 90.00 90.00 90.00
Space group P4/mmm (No. 123)
Asymmetric unit:
Al: 0.000 0.000 0.000 x1
Cd: 0.500 0.500 0.500 x1
Te: 0.000 0.500 0.500 x2
N: 0.500 0.500 0.000 x1

Output
Formation energy without anion corrections (meV per atom): 1107.4



No. 2
Material: Y2AlCdN
Method: DFT, PBE
State: relaxed

a b c (Å): 4.967 4.967 3.983
angles (deg): 90.00 90.00 90.00
Space group P4/mmm (No. 123)
Asymmetric unit:
Y: 0.000 0.500 0.000 x2
Al: 0.000 0.000 0.500 x1
Cd: 0.500 0.500 0.500 x1
N: 0.000 0.000 0.000 x1

Output
Formation energy without anion corrections (meV per atom): -715.8



No. 3
Material: NaAlCd
Method: DFT, PBE
State: relaxed

a b c (Å): 3.590 3.590 24.489
angles (deg): 90.00 90.00 90.00
Space group I4/mmm (No. 139)
Asymmetric unit:
Na: 0.000 0.000 0.073 x4
Al: 0.000 0.000 0.346 x4
Cd: 0.000 0.000 0.212 x4

Output
Formation energy (eV per atom): 0.1587



No. 4
Material: Na3AlCd
Method: DFT, PBE
State: relaxed

a b c (Å): 5.809 5.809 5.809
angles (deg): 90.00 90.00 90.00
Space group Pm-3m (No. 221)
Asymmetric unit:
Na: 0.000 0.000 0.500 x3
Al: 0.000 0.000 0.000 x1
Cd: 0.500 0.500 0.500 x1

Output
Formation energy (eV per atom): 0.3968



No. 5
Material: NaAlCd2
Method: DFT, PBE
State: relaxed

a b c (Å): 3.676 3.676 6.652
angles (deg): 90.00 90.00 90.00
Space group P4/mmm (No. 123)
Asymmetric unit:
Na: 0.000 0.000 0.000 x1
Al: 0.000 0.000 0.500 x1
Cd: 0.500 0.500 0.267 x2

Output
Formation energy (eV per atom): 0.0554



No. 6
Material: NaAl2Cd2
Method: DFT, PBE
State: relaxed

a b c (Å): 4.087 4.087 13.595
angles (deg): 90.00 90.00 90.00
Space group I4/mmm (No. 139)
Asymmetric unit:
Na: 0.000 0.000 0.000 x2
Al: 0.000 0.500 0.250 x4
Cd: 0.000 0.000 0.396 x4

Output
Formation energy (eV per atom): 0.0470



No. 7
Material: NaAl2Cd2
Method: DFT, PBE
State: relaxed

a b c (Å): 4.449 4.449 12.039
angles (deg): 90.00 90.00 90.00
Space group I4/mmm (No. 139)
Asymmetric unit:
Na: 0.000 0.000 0.000 x2
Al: 0.000 0.000 0.394 x4
Cd: 0.000 0.500 0.250 x4

Output
Formation energy (eV per atom): 0.0929



No. 8
Material: NaAl2Cd2
Method: DFT, PBE
State: relaxed

a b c (Å): 8.519 8.519 3.045
angles (deg): 90.00 90.00 90.00
Space group P4/mbm (No. 127)
Asymmetric unit:
Na: 0.000 0.000 0.000 x2
Al: 0.120 0.380 0.000 x4
Cd: 0.176 0.676 0.500 x4

Output
Formation energy (eV per atom): 0.0848



No. 9
Material: NaAlCd2
Method: DFT, PBE
State: relaxed

a b c (Å): 3.1835 3.1835 30.8273
angles (deg): 90.00 90.00 120.00
Space group R3m (No. 160, hexagonal axes)
Asymmetric unit:
Na: 0.0000 0.0000 0.0000 x3
Al: 0.0000 0.0000 0.1665 x3
Cd: 0.0000 0.0000 0.4213 x3
Cd: 0.0000 0.0000 0.5784 x3

Output
Formation energy (eV per atom): 0.0818



No. 10
Material: Na2AlCd3
Method: DFT, PBE
State: relaxed

a b c (Å): 6.0176 6.0176 9.1662
angles (deg): 90.00 90.00 120.00
Space group P6_3/mmc (No. 194)
Asymmetric unit:
Na: 0.3333 0.6667 0.0612 x4
Al: 0.0000 0.0000 0.0000 x2
Cd: 0.1700 0.3399 0.7500 x6

Output
Formation energy (eV per atom): -0.0538



No. 11
Material: Na2AlCd2
Method: DFT, PBE
State: relaxed

a b c (Å): 8.981 8.981 3.144
angles (deg): 90.00 90.00 90.00
Space group P4/mbm (No. 127)
Asymmetric unit:
Na: 0.129 0.371 0.000 x4
Al: 0.000 0.000 0.000 x2
Cd: 0.171 0.671 0.500 x4

Output
Formation energy (eV per atom): 0.1905



No. 12
Material: NaAl4Cd
Method: DFT, PBE
State: relaxed

a b c (Å): 7.868 7.868 7.868
angles (deg): 90.00 90.00 90.00
Space group F-43m (No. 216)
Asymmetric unit:
Na: 0.000 0.000 0.000 x4
Al: 0.125 0.125 0.625 x16
Cd: 0.250 0.250 0.250 x4

Output
Formation energy (eV per atom): 0.0880



No. 13
Material: Na16AlCd12
Method: DFT, PBE
State: relaxed

a b c (Å): 11.575 16.481 9.904
angles (deg): 90.00 124.07 90.00
Space group Cm (No. 8)
Asymmetric unit:
Na: 0.000 0.000 0.000 x2
Na: 0.001 0.000 0.361 x2
Na: 0.059 0.347 0.406 x4
Na: 0.134 0.500 0.663 x2
Na: 0.154 0.161 0.589 x4
Na: 0.177 0.176 0.996 x4
Na: 0.188 0.500 0.288 x2
Na: 0.295 0.294 0.318 x4
Na: 0.450 0.126 0.985 x4
Na: 0.481 0.194 0.694 x4
Al: 0.355 0.000 0.668 x2
Cd: 0.005 0.186 0.180 x4
Cd: 0.185 0.000 0.800 x2
Cd: 0.234 0.412 0.013 x4
Cd: 0.269 0.092 0.371 x4
Cd: 0.313 0.317 0.815 x4
Cd: 0.350 0.000 0.170 x2
Cd: 0.408 0.409 0.641 x4

Output
Formation energy (eV per atom): -0.0666



Calculated density of states at the Fermi level, 1.214, 0.522, 0.335, 0.633, 0.328, 0.417, 0.488, 0.345, 0.447, 0.505, 0.249, 0.175, 0.436 states/eV per atom (same order as the records).
Calculated electronic total energy, -2.746, -5.898, -1.834, -1.326, -1.668, -2.080, -2.034, -2.042, -1.641, -1.575, -1.452, -2.779, -1.302 eV/atom (same order as the records).
Calculated total magnetic moment, 0.00, 0.00, 0.00, 0.00, 0.00, 0.00, 0.00, 0.00, 0.00, 0.00, 0.00, 0.00, 0.00 μB/f.u. (same order as the records).